one) A geometry-optimized PmTaPb structure. Source: OQMD via LeMat-Bulk, functional PBE.

It has space group F-43m (No. 216), with a = 7.247 Å, b = 7.247 Å, c = 7.247 Å, α = 90.00°, β = 90.00° and γ = 90.00°. Symmetry generates all atoms from Pm at (0.000, 0.000, 0.000), Ta at (0.250, 0.250, 0.250) and Pb at (0.250, 0.250, 0.750).

The calculated volume is 31.72 Å³/atom.

---

two) A geometry-optimized PmTaPb structure. Source: OQMD via LeMat-Bulk, functional PBE.

It has space group F-43m (No. 216), with a = 7.005 Å, b = 7.005 Å, c = 7.005 Å, α = 90.00°, β = 90.00° and γ = 90.00°. Symmetry generates all atoms from Pm at (0.000, 0.000, 0.000), Ta at (0.000, 0.000, 0.500) and Pb at (0.250, 0.250, 0.250).

The calculated volume is 28.64 Å³/atom.

---

Comparing the structures above, two) comes out on top by 46.4 kJ/mol of atoms.